Model A:
Density functional theory data (PBE-GGA) for a relaxed structure of Dy4YTh2.

For the spin magnetization, the calculation gives 0.0 μB per formula unit.

Unit cell a=3.5715 b=7.9300 c=8.7344 alpha=68.41 beta=89.93 gamma=77.00
Sites, in units of the cell vectors:
1 Dy 0.0760 0.3481 0.2174
2 Dy 0.3554 0.7910 0.0709
3 Dy 0.6446 0.2090 0.9291
4 Dy 0.9240 0.6519 0.7826
5 Y 0.5000 0.5000 0.5000
6 Th 0.2153 0.0696 0.6411
7 Th 0.7847 0.9304 0.3589

=====

Model B:
Density functional theory data (PBE-GGA) for a relaxed structure of Dy4YTh2.

For the spin magnetization, the calculation gives 0.2 μB per formula unit.

Unit cell a=9.2575 b=9.2575 c=9.2575 alpha=145.18 beta=145.18 gamma=50.07
Sites, in units of the cell vectors:
1 Dy 0.0000 0.5000 0.5000
2 Dy 0.1822 0.1822 0.0000
3 Dy 0.5000 0.0000 0.5000
4 Dy 0.8178 0.8178 0.0000
5 Y 0.0000 0.0000 0.0000
6 Th 0.3869 0.3869 0.0000
7 Th 0.6131 0.6131 0.0000

=====

Of them, model B has the lowest stability.

=====

Model A:
Density functional theory data (PBE-GGA) for a relaxed structure of Dy3Y4Th2.

For the spin magnetization, the calculation gives 0.0 μB per formula unit.

Unit cell a=7.9379 b=7.9379 c=10.6934 alpha=103.03 beta=103.03 gamma=26.05
Sites, in units of the cell vectors:
1 Dy 0.0000 0.0000 0.0000
2 Dy 0.3288 0.3288 0.4418
3 Dy 0.6712 0.6712 0.5582
4 Y 0.0054 0.0054 0.3343
5 Y 0.3309 0.3309 0.1110
6 Y 0.6691 0.6691 0.8890
7 Y 0.9946 0.9946 0.6657
8 Th 0.3338 0.3338 0.7779
9 Th 0.6662 0.6662 0.2221

=====

Model B:
Density functional theory data (PBE-GGA) for a relaxed structure of Dy3Y4Th2.

For the spin magnetization, the calculation gives 0.3 μB per formula unit.

Unit cell a=3.5676 b=3.5676 c=26.4931 alpha=90.00 beta=90.00 gamma=120.00
Sites, in units of the cell vectors:
1 Dy 0.0000 0.0000 0.0000
2 Dy 0.0000 0.0000 0.3448
3 Dy 0.6667 0.3333 0.6697
4 Y 0.0000 0.0000 0.5620
5 Y 0.0000 0.0000 0.7788
6 Y 0.6667 0.3333 0.2385
7 Y 0.6667 0.3333 0.4534
8 Th 0.6667 0.3333 0.1098
9 Th 0.6667 0.3333 0.8890

=====

Of them, model B has the lowest stability.

=====

Model A:
Density functional theory data (PBE-GGA) for a relaxed structure of Dy2Y5Th2.

For the spin magnetization, the calculation gives 0.0 μB per formula unit.

Unit cell a=10.0986 b=10.0986 c=10.0986 alpha=84.97 beta=107.77 gamma=141.49
Sites, in units of the cell vectors:
1 Dy 0.0027 0.1252 0.1279
2 Dy 0.0027 0.3748 0.3776
3 Dy 0.9973 0.6252 0.6224
4 Dy 0.9973 0.8748 0.8721
5 Y 0.0960 0.3922 0.8109
6 Y 0.0960 0.7851 0.2038
7 Y 0.3754 0.8964 0.9790
8 Y 0.4204 0.2885 0.4181
9 Y 0.4204 0.5024 0.6319
10 Y 0.5813 0.2851 0.1891
11 Y 0.5813 0.8922 0.7962
12 Y 0.8705 0.0024 0.5819
13 Y 0.8705 0.7885 0.3681
14 Y 0.9174 0.3964 0.0210
15 Th 0.4682 0.7201 0.2481
16 Th 0.4720 0.2201 0.7519
17 Th 0.5355 0.0355 0.5000
18 Th 0.5355 0.5355 0.0000

=====

Model B:
Density functional theory data (PBE-GGA) for a relaxed structure of Dy2Y5Th2.

For the spin magnetization, the calculation gives 0.0 μB per formula unit.

Unit cell a=11.6532 b=11.6532 c=8.2609 alpha=102.64 beta=102.64 gamma=17.24
Sites, in units of the cell vectors:
1 Dy 0.1592 0.1592 0.1828
2 Dy 0.8408 0.8408 0.8172
3 Y 0.0000 0.0000 0.0000
4 Y 0.0903 0.0903 0.7340
5 Y 0.3053 0.3053 0.4396
6 Y 0.6947 0.6947 0.5604
7 Y 0.9097 0.9097 0.2660
8 Th 0.4484 0.4484 0.6393
9 Th 0.5516 0.5516 0.3607

=====

Of them, model B has the lowest stability.

=====

Model A:
Density functional theory data (PBE-GGA) for a relaxed structure of Dy12Y5Th2.

For the spin magnetization, the calculation gives 0.0 μB per formula unit.

Unit cell a=6.0894 b=9.6239 c=11.2911 alpha=69.94 beta=82.21 gamma=88.99
Sites, in units of the cell vectors:
1 Dy 0.0380 0.1886 0.1534
2 Dy 0.0756 0.8123 0.5445
3 Dy 0.1760 0.8220 0.2245
4 Dy 0.3778 0.4117 0.2851
5 Dy 0.4236 0.3147 0.6007
6 Dy 0.4292 0.6877 0.9852
7 Dy 0.5708 0.3123 0.0148
8 Dy 0.5764 0.6853 0.3993
9 Dy 0.6222 0.5883 0.7149
10 Dy 0.8240 0.1780 0.7755
11 Dy 0.9244 0.1877 0.4555
12 Dy 0.9620 0.8114 0.8466
13 Y 0.0000 0.5000 0.5000
14 Y 0.1087 0.4564 0.8414
15 Y 0.4969 0.0523 0.3317
16 Y 0.5031 0.9477 0.6683
17 Y 0.8913 0.5436 0.1586
18 Th 0.2759 0.0664 0.9195
19 Th 0.7241 0.9336 0.0805

=====

Model B:
Density functional theory data (PBE-GGA) for a relaxed structure of Dy12Y5Th2.

For the spin magnetization, the calculation gives 0.0 μB per formula unit.

Unit cell a=9.0891 b=9.0891 c=8.5901 alpha=92.02 beta=92.02 gamma=61.65
Sites, in units of the cell vectors:
1 Dy 0.0567 0.0567 0.3324
2 Dy 0.0631 0.6766 0.3289
3 Dy 0.1719 0.5300 0.7579
4 Dy 0.3234 0.9369 0.6711
5 Dy 0.4238 0.4238 0.1220
6 Dy 0.4700 0.8281 0.2421
7 Dy 0.5300 0.1719 0.7579
8 Dy 0.5762 0.5762 0.8780
9 Dy 0.6766 0.0631 0.3289
10 Dy 0.8281 0.4700 0.2421
11 Dy 0.9369 0.3234 0.6711
12 Dy 0.9433 0.9433 0.6676
13 Y 0.2032 0.2032 0.0257
14 Y 0.2669 0.2669 0.4294
15 Y 0.5000 0.5000 0.5000
16 Y 0.7331 0.7331 0.5706
17 Y 0.7968 0.7968 0.9743
18 Th 0.1726 0.8274 0.0000
19 Th 0.8274 0.1726 0.0000

=====

Of them, model B has the lowest stability.